# 1
! GGA-PBE Li8Mg3Tl3, relaxed; values from VASP
! Density = 4.427 g/cm³
! Formation energy from the elements = -0.85 eV per formula unit
! Total DFT energy (no corrections) = -2.00 eV per atom
! Total magnetization = 0.00 μB/f.u.
&SYSTEM
  ibrav = 0, nat = 14, ntyp = 3
/
ATOMIC_SPECIES
Li 6.94 Li.upf
Mg 24.30 Mg.upf
Tl 204.38 Tl.upf
ATOMIC_POSITIONS angstrom
Li 4.486 2.570 2.428
Li -0.703 -4.304 5.191
Li 3.916 -1.129 4.001
Li -0.134 -0.605 3.618
Li 1.532 -4.364 3.753
Li 2.251 2.630 3.867
Li 1.872 -2.153 2.812
Li 1.911 0.419 4.807
Mg -1.424 0.923 1.655
Mg -0.838 -5.448 2.317
Mg -0.284 -1.844 0.784
Tl -1.986 -2.724 3.205
Tl 2.071 0.355 1.585
Tl 1.712 -2.089 6.035
CELL_PARAMETERS angstrom
-2.849 1.846 3.309
-1.122 -7.293 3.102
7.754 3.713 1.209

# 2
! GGA-PBE Li7Mg3Tl, relaxed; values from VASP
! Density = 2.353 g/cm³
! Offset from the most stable computed form = 0.000 eV/atom
! Formation energy from the elements = -0.16 eV per formula unit
! Total DFT energy (no corrections) = -1.88 eV per atom
! Total magnetization = 0.00 μB/f.u.
&SYSTEM
  ibrav = 0, nat = 22, ntyp = 3
/
ATOMIC_SPECIES
Li 6.94 Li.upf
Mg 24.30 Mg.upf
Tl 204.38 Tl.upf
ATOMIC_POSITIONS angstrom
Li -6.743 -11.239 3.772
Li -3.468 -2.934 0.716
Li -3.945 -11.214 -0.942
Li -6.266 -2.959 5.430
Li -9.043 -4.863 8.831
Li -1.169 -9.310 -4.344
Li -3.277 -8.624 -0.314
Li -6.935 -5.549 4.802
Li -3.818 -6.983 1.715
Li -6.394 -7.190 2.773
Li -9.322 -9.198 6.360
Li -0.890 -4.974 -1.873
Li -1.628 -7.493 -2.334
Li -8.583 -6.679 6.822
Mg -4.101 -4.885 3.618
Mg -6.111 -9.287 0.870
Mg -6.621 -8.667 5.312
Mg -3.590 -5.506 -0.824
Mg -0.382 -2.334 -0.939
Mg -9.830 -11.839 5.427
Tl -3.778 -9.458 -3.189
Tl -6.434 -4.715 7.677
CELL_PARAMETERS angstrom
-2.471 0.992 -1.461
0.818 -9.295 -4.536
-8.558 -5.870 10.485

# 3
! GGA-PBE LiMg2Tl, relaxed; values from VASP
! Density = 4.864 g/cm³
! Offset from the most stable computed form = 0.044 eV/atom
! Formation energy from the elements = -0.35 eV per formula unit
! Total DFT energy (no corrections) = -1.95 eV per atom
! Total magnetization = 0.00 μB/f.u.
&SYSTEM
  ibrav = 0, nat = 4, ntyp = 3
/
ATOMIC_SPECIES
Tl 204.38 Tl.upf
Mg 24.30 Mg.upf
Li 6.94 Li.upf
ATOMIC_POSITIONS angstrom
Tl 1.862 1.861 1.601
Mg 0.000 0.000 6.347
Mg 0.000 0.000 3.259
Li 1.862 1.861 4.803
CELL_PARAMETERS angstrom
3.723 0.000 0.000
0.000 3.722 0.000
0.000 0.000 6.404

# 4
! GGA-PBE Li5MgTl2, relaxed; values from VASP
! Density = 4.863 g/cm³
! Offset from the most stable computed form = 0.023 eV/atom
! Formation energy from the elements = -1.29 eV per formula unit
! Total DFT energy (no corrections) = -2.15 eV per atom
! Total magnetization = 0.00 μB/f.u.
&SYSTEM
  ibrav = 0, nat = 8, ntyp = 3
/
ATOMIC_SPECIES
Li 6.94 Li.upf
Mg 24.30 Mg.upf
Tl 204.38 Tl.upf
ATOMIC_POSITIONS angstrom
Li -0.133 -0.372 -3.452
Li -0.727 -5.337 -1.146
Li 2.667 -4.624 -1.353
Li 1.985 -1.472 -1.666
Li -1.409 -2.185 -1.459
Mg 0.000 0.000 0.000
Tl 0.562 -3.590 -3.132
Tl 0.696 -3.219 0.320
CELL_PARAMETERS angstrom
-3.527 -1.085 -3.244
3.261 0.341 -3.659
1.524 -6.066 4.091

# 5
! GGA-PBE LiMg12Tl3, relaxed; values from VASP
! Density = 4.127 g/cm³
! Formation energy from the elements = -0.44 eV per formula unit
! Total DFT energy (no corrections) = -1.79 eV per atom
! Total magnetization = 0.00 μB/f.u.
&SYSTEM
  ibrav = 0, nat = 16, ntyp = 3
/
ATOMIC_SPECIES
Li 6.94 Li.upf
Mg 24.30 Mg.upf
Tl 204.38 Tl.upf
ATOMIC_POSITIONS angstrom
Li 0.000 0.000 0.000
Mg 1.635 0.202 -2.706
Mg -0.746 -3.289 -4.405
Mg -3.141 -6.801 -6.114
Mg -5.536 -10.312 -7.823
Mg -1.421 -0.592 -2.757
Mg -3.825 -4.118 -4.473
Mg -6.241 -7.660 -6.197
Mg -8.646 -11.186 -7.912
Mg 0.729 -2.617 -1.609
Mg -1.675 -6.143 -3.325
Mg -4.092 -9.685 -5.049
Mg -6.496 -13.211 -6.765
Tl -2.360 -3.460 -1.684
Tl -4.776 -7.002 -3.408
Tl -7.192 -10.544 -5.131
CELL_PARAMETERS angstrom
-0.515 2.227 -3.854
3.785 -1.823 -1.559
-9.552 -14.005 -6.815

# 6
! GGA-PBE Li5MgTl2, relaxed; values from VASP
! Density = 4.956 g/cm³
! Offset from the most stable computed form = 0.000 eV/atom
! Formation energy from the elements = -1.47 eV per formula unit
! Total DFT energy (no corrections) = -2.17 eV per atom
! Total magnetization = 0.00 μB/f.u.
&SYSTEM
  ibrav = 0, nat = 8, ntyp = 3
/
ATOMIC_SPECIES
Li 6.94 Li.upf
Mg 24.30 Mg.upf
Tl 204.38 Tl.upf
ATOMIC_POSITIONS angstrom
Li 0.481 3.563 2.184
Li -0.718 1.162 3.978
Li -2.202 3.563 0.389
Li 2.037 1.067 -0.129
Li -2.238 3.621 3.347
Mg -0.684 1.107 1.023
Tl 2.003 1.111 2.826
Tl 0.516 3.518 -0.771
CELL_PARAMETERS angstrom
5.439 -0.095 -2.313
-3.034 4.908 -1.285
-0.059 0.095 5.910

# 7
! GGA-PBE Li4Mg9Tl11, relaxed; values from VASP
! Density = 7.353 g/cm³
! Formation energy from the elements = -1.99 eV per formula unit
! Total DFT energy (no corrections) = -2.08 eV per atom
! Total magnetization = 0.00 μB/f.u.
&SYSTEM
  ibrav = 0, nat = 24, ntyp = 3
/
ATOMIC_SPECIES
Li 6.94 Li.upf
Mg 24.30 Mg.upf
Tl 204.38 Tl.upf
ATOMIC_POSITIONS angstrom
Li 1.811 6.753 6.902
Li 1.811 5.364 1.097
Li 1.811 9.000 3.498
Li 1.811 3.117 4.501
Mg 1.811 7.529 -1.207
Mg 1.811 4.588 9.206
Mg 1.811 1.848 7.398
Mg 1.811 10.269 0.601
Mg 1.811 9.594 8.369
Mg 1.811 2.523 -0.370
Mg 1.811 11.466 5.533
Mg 1.811 0.652 2.466
Mg 1.811 6.059 3.999
Tl 0.000 7.149 9.102
Tl 0.000 4.968 -1.103
Tl 0.000 11.179 2.997
Tl 0.000 0.938 5.002
Tl 0.000 7.652 1.586
Tl 0.000 4.465 6.413
Tl 0.000 9.987 -1.952
Tl 0.000 2.130 9.950
Tl 0.000 0.000 0.000
Tl 0.000 8.741 5.770
Tl 0.000 3.377 2.229
CELL_PARAMETERS angstrom
3.623 0.000 0.000
0.000 11.960 -4.940
0.000 0.157 12.939

# 8
! GGA-PBE LiMg4Tl, relaxed; values from VASP
! Density = 3.779 g/cm³
! Offset from the most stable computed form = 0.001 eV/atom
! Formation energy from the elements = -0.20 eV per formula unit
! Total DFT energy (no corrections) = -1.81 eV per atom
! Total magnetization = 0.00 μB/f.u.
&SYSTEM
  ibrav = 0, nat = 12, ntyp = 3
/
ATOMIC_SPECIES
Li 6.94 Li.upf
Mg 24.30 Mg.upf
Tl 204.38 Tl.upf
ATOMIC_POSITIONS angstrom
Li 7.771 1.255 0.000
Li 3.421 3.780 3.096
Mg 3.440 3.771 0.000
Mg 0.477 3.771 0.000
Mg 1.979 1.258 4.659
Mg 6.328 3.777 4.628
Mg 4.827 1.264 3.096
Mg 7.790 1.264 3.096
Mg 6.328 3.777 1.563
Mg 1.979 1.258 1.532
Tl 4.988 1.254 0.000
Tl 0.639 3.780 3.096
CELL_PARAMETERS angstrom
8.699 0.000 0.000
0.000 5.034 0.000
0.000 0.000 6.192

# 9
! GGA-PBE LiMg2Tl, relaxed; values from VASP
! Density = 4.799 g/cm³
! Offset from the most stable computed form = 0.041 eV/atom
! Formation energy from the elements = -0.36 eV per formula unit
! Total DFT energy (no corrections) = -1.96 eV per atom
! Total magnetization = 0.00 μB/f.u.
&SYSTEM
  ibrav = 0, nat = 4, ntyp = 3
/
ATOMIC_SPECIES
Tl 204.38 Tl.upf
Mg 24.30 Mg.upf
Li 6.94 Li.upf
ATOMIC_POSITIONS angstrom
Tl 2.668 0.843 1.331
Mg 10.655 3.367 5.309
Mg 5.351 1.691 2.677
Li 8.003 2.529 3.993
CELL_PARAMETERS angstrom
5.440 0.010 0.004
4.458 3.118 0.004
0.772 0.244 5.316

# 10
! GGA-PBE Li6MgTl5, relaxed; values from VASP
! Density = 7.300 g/cm³
! Formation energy from the elements = -2.62 eV per formula unit
! Total DFT energy (no corrections) = -2.29 eV per atom
! Total magnetization = 0.00 μB/f.u.
&SYSTEM
  ibrav = 0, nat = 12, ntyp = 3
/
ATOMIC_SPECIES
Mg 24.30 Mg.upf
Tl 204.38 Tl.upf
Li 6.94 Li.upf
ATOMIC_POSITIONS angstrom
Mg 0.000 0.000 0.000
Tl 0.253 1.201 3.127
Tl 3.440 2.670 2.290
Tl 1.563 -2.841 0.965
Tl 1.971 -1.520 4.194
Tl 5.158 -0.051 3.357
Li 2.836 1.212 4.808
Li 1.299 4.006 3.860
Li 0.957 -4.219 3.483
Li -0.518 -1.539 2.574
Li 4.112 -2.855 2.624
Li 2.575 -0.062 1.675
CELL_PARAMETERS angstrom
-2.687 -0.077 4.128
3.126 -5.681 1.929
4.973 6.909 0.427

# 11
! GGA-PBE LiMg2Tl, relaxed; values from VASP
! Density = 4.753 g/cm³
! Offset from the most stable computed form = 0.064 eV/atom
! Formation energy from the elements = -0.27 eV per formula unit
! Total DFT energy (no corrections) = -1.93 eV per atom
! Total magnetization = 0.00 μB/f.u.
&SYSTEM
  ibrav = 0, nat = 4, ntyp = 3
/
ATOMIC_SPECIES
Tl 204.38 Tl.upf
Mg 24.30 Mg.upf
Li 6.94 Li.upf
ATOMIC_POSITIONS angstrom
Tl 2.564 0.877 1.355
Mg 0.000 0.279 5.396
Mg 0.000 1.719 2.744
Li 2.564 2.630 4.065
CELL_PARAMETERS angstrom
5.127 0.000 0.000
0.000 3.261 -0.011
0.000 0.245 5.430

# 12
! GGA-PBE Li2Mg3Tl4, relaxed; values from VASP
! Density = 7.099 g/cm³
! Formation energy from the elements = -0.91 eV per formula unit
! Total DFT energy (no corrections) = -2.11 eV per atom
! Total magnetization = 0.00 μB/f.u.
&SYSTEM
  ibrav = 0, nat = 9, ntyp = 3
/
ATOMIC_SPECIES
Li 6.94 Li.upf
Mg 24.30 Mg.upf
Tl 204.38 Tl.upf
ATOMIC_POSITIONS angstrom
Li 2.335 2.150 7.680
Li 4.635 3.181 2.488
Mg 2.334 1.749 4.387
Mg 0.000 0.000 0.000
Mg 4.636 3.581 5.782
Tl 4.655 3.717 8.893
Tl 2.310 4.675 3.758
Tl 4.661 0.655 6.411
Tl 2.316 1.613 1.275
CELL_PARAMETERS angstrom
4.636 -0.018 0.019
2.301 4.799 0.593
0.033 0.549 9.557